# 1
Density functional theory data (PBE with a Hubbard U) for an optimized crystal structure of TaVPO2.

a = 3.670 Å, b = 3.670 Å, c = 5.300 Å
α = 90.00°, β = 90.00°, γ = 90.00°
Space group P4/mmm (No. 123)
Unique sites:
Ta 0.000 0.000 0.000 (multiplicity 1)
V 0.500 0.500 0.500 (multiplicity 1)
P 0.500 0.500 0.000 (multiplicity 1)
O 0.000 0.500 0.500 (multiplicity 2)

# 2
Density functional theory data (PBE with a Hubbard U) for an optimized crystal structure of TaVPO2.

a = 3.900 Å, b = 3.900 Å, c = 5.227 Å
α = 90.00°, β = 90.00°, γ = 90.00°
Space group P4/mmm (No. 123)
Unique sites:
Ta 0.000 0.000 0.000 (multiplicity 1)
V 0.500 0.500 0.500 (multiplicity 1)
P 0.000 0.000 0.500 (multiplicity 1)
O 0.000 0.500 0.000 (multiplicity 2)

# 3
Density functional theory data (PBE with a Hubbard U) for an optimized crystal structure of TaVP2O.

a = 4.705 Å, b = 4.705 Å, c = 3.493 Å
α = 90.00°, β = 90.00°, γ = 90.00°
Space group P4/mmm (No. 123)
Unique sites:
Ta 0.000 0.000 0.000 (multiplicity 1)
V 0.500 0.500 0.500 (multiplicity 1)
P 0.000 0.500 0.500 (multiplicity 2)
O 0.500 0.500 0.000 (multiplicity 1)

Polymorph energy (0 for the lowest one) values (in kJ/mol of atoms) by entry order: 75.0; 0.0; 16.4.
Uncorrected energy values (in eV/atom) by entry order: -7.4892; -8.2665; -6.9270.